! Sc2Zn2Ge3 | the Open Quantum Materials Database | GGA-PBE | relaxed; values from VASP
&SYSTEM
  ibrav = 0, nat = 7, ntyp = 3
/
ATOMIC_SPECIES
Sc 44.96 Sc.upf
Zn 65.41 Zn.upf
Ge 72.64 Ge.upf
CELL_PARAMETERS angstrom
2.1197 1.2238 8.7096
-2.1197 1.2238 8.7096
0.0000 -2.4477 8.7096
ATOMIC_POSITIONS angstrom
Sc 0.0000 0.0000 0.0000
Sc 0.0000 0.0000 12.8687
Zn 0.0000 0.0000 6.3086
Zn 0.0000 0.0000 19.6495
Ge 0.0000 0.0000 10.1845
Ge 0.0000 0.0000 16.1240
Ge 0.0000 0.0000 22.5665
! Mass density (g/cm³): 5.373
! Space group: R3m (160)
! Total magnetization (μB per cell): 0.005
! E_tot (eV/cell): -30.8
! V (Å³ per atom): 19.37

---

! ZrScGe4 | the Open Quantum Materials Database | GGA-PBE | relaxed; values from VASP
&SYSTEM
  ibrav = 0, nat = 6, ntyp = 3
/
ATOMIC_SPECIES
Zr 91.22 Zr.upf
Sc 44.96 Sc.upf
Ge 72.64 Ge.upf
CELL_PARAMETERS angstrom
3.8093 0.0000 0.0000
0.0000 1.9248 7.5871
0.0000 -1.9248 7.5871
ATOMIC_POSITIONS angstrom
Zr 0.0000 0.0000 0.0000
Sc 1.9046 0.0000 11.9998
Ge 0.0000 0.0000 5.1113
Ge 0.0000 0.0000 9.7660
Ge 1.9046 0.0000 2.2226
Ge 1.9046 0.0000 6.8643
! Mass density (g/cm³): 6.369
! Space group: Amm2 (38)
! Total magnetization (μB per cell): 0.002
! E_tot (eV/cell): -36.9
! V (Å³ per atom): 18.54

---

! ZrScGe2 | the Open Quantum Materials Database | GGA-PBE | relaxed; values from VASP
&SYSTEM
  ibrav = 0, nat = 4, ntyp = 3
/
ATOMIC_SPECIES
Zr 91.22 Zr.upf
Sc 44.96 Sc.upf
Ge 72.64 Ge.upf
CELL_PARAMETERS angstrom
0.0000 3.3962 3.3962
3.3962 0.0000 3.3962
3.3962 3.3962 0.0000
ATOMIC_POSITIONS angstrom
Zr 0.0000 0.0000 0.0000
Sc 5.0943 5.0943 5.0943
Ge 1.6981 1.6981 1.6981
Ge 3.3962 3.3962 3.3962
! Mass density (g/cm³): 5.966
! Space group: F-43m (216)
! Total magnetization (μB per cell): 1.017
! E_tot (eV/cell): -24.0
! V (Å³ per atom): 19.59

---

! Zr2Sc2Ge | the Open Quantum Materials Database | GGA-PBE | relaxed; values from VASP
&SYSTEM
  ibrav = 0, nat = 5, ntyp = 3
/
ATOMIC_SPECIES
Zr 91.22 Zr.upf
Sc 44.96 Sc.upf
Ge 72.64 Ge.upf
CELL_PARAMETERS angstrom
-2.0031 2.0031 6.9672
2.0031 -2.0031 6.9672
2.0031 2.0031 -6.9672
ATOMIC_POSITIONS angstrom
Zr 2.0031 0.0000 3.4836
Zr 0.0000 2.0031 3.4836
Sc 0.0000 0.0000 1.2117
Sc 0.0000 0.0000 12.7228
Ge 0.0000 0.0000 6.9672
! Mass density (g/cm³): 5.123
! Space group: I4/mmm (139)
! Total magnetization (μB per cell): 0.040
! E_tot (eV/cell): -32.5
! V (Å³ per atom): 22.36